1.
The following is a DFT calculation (PBE) of a relaxed structure of CeSmDy4Er2.

Crystal system: orthorhombic
Total magnetization (μB per formula unit): 1.0
Calculated density (g/cm3): 8.4
Raw total energy (eV/f.u.): -37.8

a = 5.019 Å, b = 5.008 Å, c = 11.188 Å
α = 63.42°, β = 90.00°, γ = 90.00°
Atoms (fractional coordinates):
Ce: 0.000 0.500 0.500
Er: 0.500 0.000 0.500
Er: 0.000 0.000 0.000
Dy: 0.000 0.752 0.748
Dy: 0.500 0.747 0.253
Dy: 0.000 0.248 0.252
Dy: 0.500 0.253 0.747
Sm: 0.500 0.500 0.000


2.
The following is a DFT calculation (PBE) of a relaxed structure of CeSmDy3Er.

Crystal system: orthorhombic
Total magnetization (μB per formula unit): 1.6
Calculated density (g/cm3): 8.2
Raw total energy (eV/f.u.): -28.1

a = 5.685 Å, b = 6.544 Å, c = 11.406 Å
α = 90.00°, β = 90.00°, γ = 115.74°
Atoms (fractional coordinates):
Er: 0.829 0.657 0.750
Er: 0.171 0.343 0.250
Dy: 0.326 0.652 0.974
Dy: 0.855 0.709 0.250
Dy: 0.674 0.348 0.474
Dy: 0.674 0.348 0.026
Dy: 0.145 0.291 0.750
Dy: 0.326 0.652 0.526
Sm: 0.000 0.000 0.000
Sm: 0.000 0.000 0.500
Ce: 0.526 0.052 0.750
Ce: 0.474 0.948 0.250